Crystalline SrY2Fe2 at its relaxed geometry, computed with PBE.

Output
**Crystal system**: tetragonal
**Offset from the most stable computed form**: 0.0 meV per atom
**Symmetry**: P4/mbm (127)
**Energy of formation from the pure elements**: 0.249 eV per atom
**Magnetic moment**: 6.62 Bohr magnetons per cell

Unit cell a=7.8649 b=7.8649 c=4.1129 alpha=90.00 beta=90.00 gamma=90.00
With the nearest neighbours (Å) after each atom.
Positions (direct):
Sr (0.0000, 0.0000, 0.0000)  4 Fe 3.24, 8 Y 3.60
Sr (0.5000, 0.5000, 0.0000)  4 Fe 3.24, 8 Y 3.60
Y (0.1610, 0.3390, 0.5000)  4 Fe 2.95
Y (0.3390, 0.8390, 0.5000)  4 Fe 2.95
Y (0.6610, 0.1610, 0.5000)  4 Fe 2.95
Y (0.8390, 0.6610, 0.5000)  4 Fe 2.95
Fe (0.1013, 0.6013, 0.0000)  1 Fe 2.25
Fe (0.3987, 0.1013, 0.0000)  1 Fe 2.25
Fe (0.6013, 0.8987, 0.0000)  1 Fe 2.25
Fe (0.8987, 0.3987, 0.0000)  1 Fe 2.25